No. 1
The following is a DFT calculation (PBE) of a geometry-optimized NpNi4Pd structure.

Formation energy from the elements: -16.94 kJ/mol of atoms
Total magnetization: 0.0 μB/f.u.
Calculated volume: 319.21 Å³/cell
Crystal system: cubic

a b c (Å): 6.8343 6.8343 6.8343
angles (deg): 90.00 90.00 90.00
Last column: nearest neighbours and their distance in Å.
Space group F-43m (No. 216)
Unique sites:
Np 0.0000 0.0000 0.0000 x4  12 Ni 2.83, 4 Pd 2.96
Ni 0.1247 0.1247 0.3753 x16  6 Ni 2.41-2.42
Pd 0.2500 0.2500 0.7500 x4  12 Ni 2.83, 4 Np 2.96

No. 2
The following is a DFT calculation (PBE) of a geometry-optimized PmNpNi structure.

Formation energy from the elements: 34.61 kJ/mol of atoms
Total magnetization: 5.1 μB/f.u.
Calculated volume: 278.38 Å³/cell
Energy above the most stable polymorph in this dataset: 0 meV per atom
Crystal system: cubic

a b c (Å): 6.5295 6.5295 6.5295
angles (deg): 90.00 90.00 90.00
Last column: nearest neighbours and their distance in Å.
Space group F-43m (No. 216)
Unique sites:
Pm 0.0000 0.0000 0.0000 x4  4 Ni 2.83
Np 0.0000 0.0000 0.5000 x4  4 Ni 2.83
Ni 0.2500 0.2500 0.2500 x4  4 Pm 2.83, 4 Np 2.83

Computed values of DFT total energy (unit: eV for the cell shown) for the preceding records, in sequence: -165.08, -88.03.